Record 1
DFT (PBE) results for Sm2Ge3 after structural relaxation.

Cell lengths 4.2819, 7.3745, 7.3745 Å; angles 90.00, 90.00, 90.00 degrees
Last column: nearest neighbours and their distance in Å.
Fractional coordinates of all 10 atoms:
Ge1 0.0000 0.0000 0.0000  4 Ge 2.93
Ge2 0.0000 0.6218 0.1218  1 Ge 2.54
Sm1 0.5000 0.8196 0.3196  6 Ge 2.97-3.12
Sm2 0.5000 0.1804 0.6804  6 Ge 2.97-3.12
Ge3 0.0000 0.1218 0.3782  1 Ge 2.54
Sm3 0.5000 0.3196 0.1804  6 Ge 2.97-3.12
Sm4 0.5000 0.6804 0.8196  6 Ge 2.97-3.12
Ge4 0.0000 0.8782 0.6218  1 Ge 2.54
Ge5 0.0000 0.3782 0.8782  1 Ge 2.54
Ge6 0.0000 0.5000 0.5000  4 Ge 2.93

Results
Space-group type: No. 127
Calculated density: 7.40 Mg/m³
Total DFT energy (no corrections): -5.37 eV per atom
Energy relative to the elements: -0.711 eV/atom

---

Record 2
DFT (PBE) results for Sm3Ge5 after structural relaxation.

Cell lengths 11.2801, 9.3180, 7.5985 Å; angles 82.97, 55.07, 41.96 degrees
Last column: nearest neighbours and their distance in Å.
Fractional coordinates of all 16 atoms:
Ge1 0.3239 0.0390 0.8635  2 Ge 2.57-2.64
Ge2 0.2110 0.9261 0.4764  2 Ge 2.57-2.64
Ge3 0.5517 0.4483 0.5517  2 Ge 2.61
Sm1 0.6706 0.6665 0.3163  9 Ge 3.01-3.36
Sm2 0.0004 0.9996 0.0004  8 Ge 3.03-3.14
Sm3 0.3163 0.3466 0.6706  9 Ge 3.01-3.36
Ge4 0.7574 0.9164 0.0688  3 Ge 2.57-2.64
Sm4 0.2504 0.2496 0.2504  8 Ge 3.03-3.14
Sm5 0.5835 0.5794 0.9034  9 Ge 3.01-3.36
Ge5 0.8017 0.6983 0.8017  2 Ge 2.61
Ge6 0.0688 0.2574 0.7574  3 Ge 2.57-2.64
Ge7 0.9926 0.1812 0.3336  3 Ge 2.57-2.64
Sm6 0.9034 0.9337 0.5835  9 Ge 3.01-3.36
Ge8 0.3336 0.4926 0.9926  3 Ge 2.57-2.64
Ge9 0.4764 0.3865 0.2110  2 Ge 2.57-2.64
Ge10 0.8635 0.7736 0.3239  2 Ge 2.57-2.64

Results
Space-group type: No. 43
Calculated density: 7.42 Mg/m³
Total DFT energy (no corrections): -5.40 eV per atom
Energy relative to the elements: -0.743 eV/atom

---

Record 3
DFT (PBE) results for SmGe2 after structural relaxation.

Cell lengths 8.7291, 8.7291, 8.7291 Å; angles 153.03, 153.03, 38.52 degrees
Last column: nearest neighbours and their distance in Å.
Fractional coordinates of all 6 atoms:
Ge1 0.5789 0.5789 0.0000  3 Ge 2.54-2.60
Ge2 0.3289 0.8289 0.5000  3 Ge 2.54-2.60
Ge3 0.4211 0.4211 0.0000  3 Ge 2.54-2.60
Sm1 0.0000 0.0000 0.0000  12 Ge 3.16-3.48
Sm2 0.7500 0.2500 0.5000  12 Ge 3.16-3.48
Ge4 0.1711 0.6711 0.5000  3 Ge 2.54-2.60

Results
Space-group type: No. 141
Calculated density: 7.19 Mg/m³
Total DFT energy (no corrections): -5.24 eV per atom
Energy relative to the elements: -0.585 eV/atom

---

Record 4
DFT (PBE) results for SmSn2Ge after structural relaxation.

Cell lengths 4.8311, 4.5375, 4.5375 Å; angles 90.00, 90.00, 90.00 degrees
Last column: nearest neighbours and their distance in Å.
Fractional coordinates of all 4 atoms:
Sm1 0.5000 0.5000 0.5000  4 Ge 3.21, 8 Sn 3.31
Sn1 0.0000 0.5000 0.0000  4 Sn 3.21, 4 Ge 3.31, 4 Sm 3.31
Ge1 0.5000 0.0000 0.0000  4 Sm 3.21, 8 Sn 3.31
Sn2 0.0000 0.0000 0.5000  4 Sn 3.21, 4 Ge 3.31, 4 Sm 3.31

Results
Space-group type: No. 123
Calculated density: 7.69 Mg/m³
Total DFT energy (no corrections): -4.77 eV per atom
Energy relative to the elements: -0.439 eV/atom

---

Record 5
DFT (PBE) results for Sm12SnGe5 after structural relaxation.

Cell lengths 8.7135, 8.7135, 8.7135 Å; angles 105.57, 112.14, 110.78 degrees
Last column: nearest neighbours and their distance in Å.
Fractional coordinates of all 18 atoms:
Sm1 0.7065 0.6766 0.3831  3 Ge 2.94-3.04
Ge1 0.5000 0.8801 0.3801  1 Ge 2.53
Sm2 0.4513 0.1804 0.2709  4 Ge 3.12-3.22
Sm3 0.7065 0.3234 0.0299  3 Ge 2.94-3.04
Ge2 0.0000 0.0000 0.0000  8 Sm 3.17-3.18
Ge3 0.5000 0.1199 0.6199  1 Ge 2.53
Sm4 0.0905 0.8196 0.2709  4 Ge 3.12-3.22
Sm5 0.1975 0.4337 0.2362  3 Ge 3.00-3.36
Sm6 0.2935 0.6766 0.9701  3 Ge 2.94-3.04
Sm7 0.8025 0.5663 0.7638  3 Ge 3.00-3.36
Sm8 0.5487 0.8196 0.7291  4 Ge 3.12-3.22
Sm9 0.2935 0.3234 0.6169  3 Ge 2.94-3.04
Sm10 0.8025 0.0387 0.2362  3 Ge 3.00-3.36
Ge4 0.3674 0.3674 0.0000  1 Ge 2.63
Sm11 0.9095 0.1804 0.7291  4 Ge 3.12-3.22
Ge5 0.6326 0.6326 0.0000  1 Ge 2.63
Sn1 0.0000 0.5000 0.5000  8 Sm 3.40-3.41
Sm12 0.1975 0.9613 0.7638  3 Ge 3.00-3.36

Results
Space-group type: No. 71
Calculated density: 7.48 Mg/m³
Total DFT energy (no corrections): -5.26 eV per atom
Energy relative to the elements: -0.606 eV/atom

---

Record 6
DFT (PBE) results for SmSnGe after structural relaxation.

Cell lengths 4.0461, 4.6543, 8.8370 Å; angles 90.00, 90.00, 90.00 degrees
Last column: nearest neighbours and their distance in Å.
Fractional coordinates of all 6 atoms:
Sm1 0.0000 0.5000 0.2500  4 Ge 3.08, 4 Sn 3.21
Sm2 0.0000 0.5000 0.7500  4 Ge 3.08, 4 Sn 3.21
Ge1 0.5000 0.0000 0.2500  4 Sn 3.00, 4 Sm 3.08
Ge2 0.5000 0.0000 0.7500  4 Sn 3.00, 4 Sm 3.08
Sn1 0.0000 0.0000 0.0000  4 Ge 3.00, 4 Sm 3.21
Sn2 0.0000 0.0000 0.5000  4 Ge 3.00, 4 Sm 3.21

Results
Space-group type: No. 47
Calculated density: 6.82 Mg/m³
Total DFT energy (no corrections): -4.91 eV per atom
Energy relative to the elements: -0.463 eV/atom

---

Record 7
DFT (PBE) results for SmSnGe4 after structural relaxation.

Cell lengths 5.6749, 5.6749, 5.6749 Å; angles 60.00, 60.00, 60.00 degrees
Last column: nearest neighbours and their distance in Å.
Fractional coordinates of all 6 atoms:
Ge1 0.6244 0.6244 0.1267  6 Ge 2.82-2.85
Ge2 0.6244 0.6244 0.6244  6 Ge 2.82-2.85
Sm1 0.0000 0.0000 0.0000  12 Ge 3.33, 4 Sn 3.48
Ge3 0.1267 0.6244 0.6244  6 Ge 2.82-2.85
Ge4 0.6244 0.1267 0.6244  6 Ge 2.82-2.85
Sn1 0.2500 0.2500 0.2500  12 Ge 3.33, 4 Sm 3.48

Results
Space-group type: No. 216
Calculated density: 7.19 Mg/m³
Total DFT energy (no corrections): -4.70 eV per atom
Energy relative to the elements: -0.163 eV/atom

---

Record 8
DFT (PBE) results for SmSnGe after structural relaxation.

Cell lengths 4.0976, 4.3651, 8.6738 Å; angles 104.57, 90.00, 90.00 degrees
Last column: nearest neighbours and their distance in Å.
Fractional coordinates of all 6 atoms:
Sn1 0.2500 0.7439 0.4878  4 Sn 3.00, 2 Sm 3.32
Ge1 0.7500 0.5511 0.1022  2 Ge 2.67
Sn2 0.7500 0.2561 0.5122  4 Sn 3.00, 2 Sm 3.32
Sm1 0.7500 0.9048 0.8096  6 Ge 3.08-3.29, 4 Sn 3.32-3.39
Sm2 0.2500 0.0952 0.1904  6 Ge 3.08-3.29, 4 Sn 3.32-3.39
Ge2 0.2500 0.4489 0.8978  2 Ge 2.67

Results
Space-group type: No. 63
Calculated density: 7.56 Mg/m³
Total DFT energy (no corrections): -5.10 eV per atom
Energy relative to the elements: -0.656 eV/atom

---

Record 9
DFT (PBE) results for Sm6Sn3Ge after structural relaxation.

Cell lengths 6.2346, 8.7316, 11.3009 Å; angles 90.00, 89.85, 90.00 degrees
Last column: nearest neighbours and their distance in Å.
Fractional coordinates of all 20 atoms:
Sm1 0.3829 0.8351 0.0709  1 Ge 2.90, 2 Sn 3.12-3.25
Ge1 0.5000 0.5000 0.5000  6 Sm 2.88-2.94
Sn1 0.0000 0.0000 0.5000  6 Sm 3.05-3.12
Sm2 0.1019 0.3158 0.0690  1 Ge 2.94, 1 Sn 3.06
Sm3 0.1171 0.3351 0.4291  1 Ge 2.90, 2 Sn 3.12-3.25
Sn2 0.0960 0.6202 0.2451  6 Sm 3.22-3.32
Ge2 0.0000 0.0000 0.0000  6 Sm 2.88-2.94
Sm4 0.6171 0.1649 0.9291  1 Ge 2.90, 2 Sn 3.12-3.25
Sm5 0.3694 0.5401 0.7423  1 Ge 2.88, 1 Sn 3.05
Sn3 0.9040 0.3798 0.7549  6 Sm 3.22-3.32
Sm6 0.6019 0.1842 0.5690  1 Ge 2.94, 1 Sn 3.06
Sn4 0.5000 0.5000 0.0000  6 Sm 3.05-3.12
Sm7 0.8694 0.9599 0.2423  1 Ge 2.88, 1 Sn 3.05
Sm8 0.1306 0.0401 0.7577  1 Ge 2.88, 1 Sn 3.05
Sm9 0.3981 0.8158 0.4310  1 Ge 2.94, 1 Sn 3.06
Sm10 0.8981 0.6842 0.9310  1 Ge 2.94, 1 Sn 3.06
Sm11 0.8829 0.6649 0.5709  1 Ge 2.90, 2 Sn 3.12-3.25
Sn5 0.4040 0.1202 0.2549  6 Sm 3.22-3.32
Sn6 0.5960 0.8798 0.7451  6 Sm 3.22-3.32
Sm12 0.6306 0.4599 0.2577  1 Ge 2.88, 1 Sn 3.05

Results
Space-group type: No. 14
Calculated density: 7.18 Mg/m³
Total DFT energy (no corrections): -5.09 eV per atom
Energy relative to the elements: -0.596 eV/atom

---

Record 10
DFT (PBE) results for Sm5Sn2Ge2 after structural relaxation.

Cell lengths 8.0737, 8.0779, 8.7765 Å; angles 117.40, 90.00, 90.00 degrees
Last column: nearest neighbours and their distance in Å.
Fractional coordinates of all 18 atoms:
Sm1 0.3279 0.6951 0.7393  3 Ge 3.05-3.19, 3 Sn 3.18-3.25
Ge1 0.3716 0.1268 0.0000  1 Ge 2.91, 8 Sm 3.05-3.19
Sn1 0.0000 0.7897 0.5795  7 Sm 3.18-3.28
Ge2 0.1284 0.6268 0.0000  1 Ge 2.91, 8 Sm 3.05-3.19
Sm2 0.8279 0.8049 0.2607  3 Ge 3.05-3.19, 3 Sn 3.18-3.25
Sm3 0.1721 0.1951 0.7393  3 Ge 3.05-3.19, 3 Sn 3.18-3.25
Sm4 0.1721 0.4559 0.2607  3 Ge 3.05-3.19, 3 Sn 3.18-3.25
Sm5 0.6721 0.0441 0.7393  3 Ge 3.05-3.19, 3 Sn 3.18-3.25
Sm6 0.8279 0.5441 0.7393  3 Ge 3.05-3.19, 3 Sn 3.18-3.25
Sm7 0.3279 0.9559 0.2607  3 Ge 3.05-3.19, 3 Sn 3.18-3.25
Ge3 0.6284 0.8732 0.0000  1 Ge 2.91, 8 Sm 3.05-3.19
Sm8 0.6721 0.3049 0.2607  3 Ge 3.05-3.19, 3 Sn 3.18-3.25
Sn2 0.0000 0.2103 0.4205  7 Sm 3.18-3.28
Sm9 0.0000 0.0000 0.0000  4 Ge 3.17-3.19, 2 Sn 3.28
Sn3 0.5000 0.2897 0.5795  7 Sm 3.18-3.28
Ge4 0.8716 0.3732 0.0000  1 Ge 2.91, 8 Sm 3.05-3.19
Sn4 0.5000 0.7103 0.4205  7 Sm 3.18-3.28
Sm10 0.5000 0.5000 0.0000  4 Ge 3.17-3.19, 2 Sn 3.28

Results
Space-group type: No. 64
Calculated density: 7.41 Mg/m³
Total DFT energy (no corrections): -5.32 eV per atom
Energy relative to the elements: -0.779 eV/atom

---

Record 11
DFT (PBE) results for SmSnGe2 after structural relaxation.

Cell lengths 4.2103, 4.6538, 4.6538 Å; angles 90.00, 90.00, 90.00 degrees
Last column: nearest neighbours and their distance in Å.
Fractional coordinates of all 4 atoms:
Ge1 0.0000 0.0000 0.5000  4 Sm 3.14, 4 Sn 3.14, 4 Ge 3.29
Sm1 0.5000 0.5000 0.5000  8 Ge 3.14, 4 Sn 3.29
Sn1 0.5000 0.0000 0.0000  8 Ge 3.14, 4 Sm 3.29
Ge2 0.0000 0.5000 0.0000  4 Sm 3.14, 4 Sn 3.14, 4 Ge 3.29

Results
Space-group type: No. 123
Calculated density: 7.55 Mg/m³
Total DFT energy (no corrections): -4.91 eV per atom
Energy relative to the elements: -0.424 eV/atom

---

Record 12
DFT (PBE) results for Sm8SnGe5 after structural relaxation.

Cell lengths 7.9104, 7.9104, 7.9104 Å; angles 109.34, 109.74, 109.34 degrees
Last column: nearest neighbours and their distance in Å.
Fractional coordinates of all 14 atoms:
Sm1 0.9875 0.1082 0.7440  4 Ge 2.97-3.32, 1 Sn 3.08
Ge1 0.3739 0.1235 0.9980  5 Sm 2.97-3.28
Sm2 0.4981 0.6227 0.2495  3 Ge 2.97-2.99
Sm3 0.2560 0.2435 0.3643  4 Ge 2.97-3.32, 1 Sn 3.08
Ge2 0.5000 0.0000 0.5000  8 Sm 2.98-3.32
Sm4 0.7505 0.2486 0.3732  3 Ge 2.97-2.99
Sm5 0.6268 0.3773 0.8754  3 Ge 2.97-2.99
Ge3 0.7496 0.6241 0.6261  5 Sm 2.97-3.28
Sm6 0.6357 0.8918 0.8793  4 Ge 2.97-3.32, 1 Sn 3.08
Ge4 0.0020 0.3759 0.1255  5 Sm 2.97-3.28
Ge5 0.8745 0.8765 0.2504  5 Sm 2.97-3.28
Sn1 0.2500 0.5000 0.7500  8 Sm 3.08-3.37
Sm7 0.1207 0.7565 0.0125  4 Ge 2.97-3.32, 1 Sn 3.08
Sm8 0.1246 0.7514 0.5019  3 Ge 2.97-2.99

Results
Space-group type: No. 82
Calculated density: 7.34 Mg/m³
Total DFT energy (no corrections): -5.44 eV per atom
Energy relative to the elements: -0.812 eV/atom